# 1
This record from the Alexandria database describes a relaxed structure of MnHg2Sb. The functional is PBE.

Properties
ΔE_f (raw) ... 328 meV/atom

Lattice parameters (Å, degrees): 5.4777 5.4777 3.4076 90.00 90.00 116.57
With the nearest neighbours (Å) after each atom.
Fractional positions:
Sb (0.0000, 0.5000, 0.5000)  2 Mn 2.88
Hg (0.0000, 0.0000, 0.0000)  2 Hg 2.88
Mn (0.5000, 0.0000, 0.5000)  2 Sb 2.88
Hg (0.5000, 0.5000, 0.0000)  2 Hg 2.88



# 2
This record from the Alexandria database describes a relaxed structure of AcSm3Se4. The functional is PBE.

Properties
ΔE_f (raw) ... -1811 meV/atom

Lattice parameters (Å, degrees): 4.1996 7.3924 7.3924 108.89 90.00 90.00
With the nearest neighbours (Å) after each atom.
Fractional positions:
Se (0.5000, 0.7437, 0.2563)  5 Sm 2.93-3.01, 1 Ac 3.08
Sm (0.5000, 0.5000, 0.5000)  6 Se 2.92-2.93
Se (0.0000, 0.7367, 0.7367)  4 Sm 2.92-3.01, 2 Ac 3.09
Se (0.0000, 0.2633, 0.2633)  4 Sm 2.92-3.01, 2 Ac 3.09
Se (0.5000, 0.2563, 0.7437)  5 Sm 2.93-3.01, 1 Ac 3.08
Sm (0.0000, 0.5000, 0.0000)  6 Se 3.01
Sm (0.0000, 0.0000, 0.5000)  6 Se 3.01
Ac (0.5000, 0.0000, 0.0000)  6 Se 3.08-3.09



# 3
This record from the Alexandria database describes a relaxed structure of Tl3In4Pb. The functional is PBE.

Properties
Energy of formation ... 29 meV/atom

Lattice parameters (Å, degrees): 7.1111 9.1117 7.1877 90.00 90.00 90.00
With the nearest neighbours (Å) after each atom.
Fractional positions:
In (0.5000, 0.7987, 0.9769)  5 In 3.22-3.44, 6 Tl 3.34-3.57
Tl (0.2575, 0.0815, 0.7494)  6 In 3.34-3.65, 4 Tl 3.40-3.66, 2 Pb 3.40
Tl (0.2425, 0.5815, 0.2506)  6 In 3.34-3.65, 4 Tl 3.40-3.66, 2 Pb 3.40
In (0.2727, 0.0468, 0.2554)  5 In 3.23-3.44, 2 Pb 3.34-3.46, 3 Tl 3.36-3.57
Tl (0.5000, 0.3297, 0.0081)  6 In 3.36-3.57, 4 Tl 3.40-3.41, 2 Pb 3.45-3.74
In (0.5000, 0.8019, 0.5295)  5 In 3.22-3.40, 4 Tl 3.38-3.46, 2 Pb 3.57
In (0.7727, 0.5468, 0.7446)  5 In 3.23-3.44, 2 Pb 3.34-3.46, 3 Tl 3.36-3.57
Pb (0.0000, 0.8283, 0.5124)  6 In 3.34-3.57, 5 Tl 3.40-3.45
Tl (0.0000, 0.8297, 0.9919)  6 In 3.36-3.57, 4 Tl 3.40-3.41, 2 Pb 3.45-3.74
In (0.7273, 0.0468, 0.2554)  5 In 3.23-3.44, 2 Pb 3.34-3.46, 3 Tl 3.36-3.57
Tl (0.7425, 0.0815, 0.7494)  6 In 3.34-3.65, 4 Tl 3.40-3.66, 2 Pb 3.40
Pb (0.5000, 0.3283, 0.4876)  6 In 3.34-3.57, 5 Tl 3.40-3.45
In (0.0000, 0.3019, 0.4705)  5 In 3.22-3.40, 4 Tl 3.38-3.46, 2 Pb 3.57
In (0.2273, 0.5468, 0.7446)  5 In 3.23-3.44, 2 Pb 3.34-3.46, 3 Tl 3.36-3.57
Tl (0.7575, 0.5815, 0.2506)  6 In 3.34-3.65, 4 Tl 3.40-3.66, 2 Pb 3.40
In (0.0000, 0.2987, 0.0231)  5 In 3.22-3.44, 6 Tl 3.34-3.57



# 4
This record from the Alexandria database describes a relaxed structure of LiIrBr2. The functional is PBE.

Properties
ΔE_f (raw) ... 26 meV/atom

Lattice parameters (Å, degrees): 6.1845 6.1845 6.1845 38.94 38.94 38.94
With the nearest neighbours (Å) after each atom.
Fractional positions:
Br (0.9938, 0.9938, 0.9938)  3 Ir 2.72, 3 Li 2.83
Ir (0.2500, 0.2500, 0.2500)  6 Br 2.72
Br (0.5062, 0.5062, 0.5062)  3 Ir 2.72, 3 Li 2.83
Li (0.7500, 0.7500, 0.7500)  6 Br 2.83



# 5
This record from the Alexandria database describes a relaxed structure of USe3. The functional is PBE.

Properties
ΔE_f (raw) ... -574 meV/atom

Lattice parameters (Å, degrees): 4.0173 4.0135 6.9293 90.00 90.00 90.00
With the nearest neighbours (Å) after each atom.
Fractional positions:
Se (0.5000, 0.5000, 0.0835)  4 U 2.84, 4 Se 2.89
Se (0.0000, 0.5000, 0.3829)  2 U 2.89, 2 Se 2.89
U (0.0000, 0.0000, 0.0832)  8 Se 2.84-2.89
Se (0.5000, 0.0000, 0.7837)  2 Se 2.89, 2 U 2.89



# 6
This record from the Alexandria database describes a relaxed structure of Tb7Ga5Bi. The functional is PBE.

Properties
Energy of formation ... -412 meV/atom

Lattice parameters (Å, degrees): 6.1608 7.9774 7.9774 82.47 67.29 67.29
With the nearest neighbours (Å) after each atom.
Fractional positions:
Ga (0.5036, 0.4852, 0.9934)  5 Tb 2.92-3.15, 3 Ga 2.99-3.17
Tb (0.9999, 0.6804, 0.3197)  5 Ga 2.99-3.15
Tb (0.5368, 0.7904, 0.1359)  3 Ga 2.92-3.05, 1 Tb 3.18
Ga (0.0178, 0.9934, 0.4852)  5 Tb 2.92-3.15, 3 Ga 2.99-3.17
Ga (0.7753, 0.7247, 0.7247)  6 Tb 2.99-3.09, 4 Ga 3.11
Ga (0.0178, 0.4852, 0.9934)  5 Tb 2.92-3.15, 3 Ga 2.99-3.17
Tb (0.2834, 0.2166, 0.2166)  4 Ga 3.00, 2 Tb 3.18
Tb (0.5368, 0.1359, 0.7904)  3 Ga 2.92-3.05, 1 Tb 3.18
Tb (0.2533, 0.7467, 0.7467)  6 Ga 3.06-3.09, 1 Bi 3.17
Ga (0.5036, 0.9934, 0.4852)  5 Tb 2.92-3.15, 3 Ga 2.99-3.17
Bi (0.9450, 0.0550, 0.0550)  6 Tb 3.17-3.50
Tb (0.9999, 0.3197, 0.6804)  5 Ga 2.99-3.15
Tb (0.6267, 0.3733, 0.3733)  1 Bi 3.28, 4 Ga 3.33, 4 Tb 3.48-3.56



The records above yield magnetic moment values of 4.145; 0.000; 0.000; 2.009; 1.014; 0.000 μB/cell, respectively.
The records above yield final energy values of -3.1454; -5.8362; -2.6909; -3.5038; -6.0096; -4.3682 eV per atom, respectively.